First-principles (PBE) data for K2LaCr after structural relaxation, as listed in the Alexandria database.

The calculation puts the magnetization at 4.3 μB per formula unit. The formation energy is 3.48 eV/f.u. The value obtained for the density is 2817 kg/m3. The calculation puts the electronic total energy at -3.32 eV/atom. The offset from the most stable computed form is 328 meV/atom.

It has space group Pmmm (No. 47), with a = 3.444 Å, b = 6.569 Å, c = 7.012 Å, α = 90.00°, β = 90.00° and γ = 90.00°. Symmetry generates all atoms from K at (0.000, 0.000, 0.235), La at (0.500, 0.500, 0.500) and Cr at (0.500, 0.500, 0.000).

First-principles (PBE) data for NbTlSbRu2 after structural relaxation, as listed in the Alexandria database.

The calculation puts the magnetization at 1.8 μB per formula unit. The value obtained for the density is 8632 kg/m3. The calculation puts the electronic total energy at -5.66 eV/atom.

It has space group P4/mmm (No. 123), with a = 4.830 Å, b = 4.830 Å, c = 5.123 Å, α = 90.00°, β = 90.00° and γ = 90.00°. Symmetry generates all atoms from Nb at (0.000, 0.000, 0.000), Tl at (0.500, 0.500, 0.000), Sb at (0.000, 0.000, 0.500) and Ru at (0.000, 0.500, 0.500).

First-principles (PBE) data for CaSiTe4 after structural relaxation, as listed in the Alexandria database.

The calculation puts the magnetization at 0.0 μB per formula unit. The value obtained for the density is 5311 kg/m3. The calculation puts the electronic total energy at -3.05 eV/atom.

It has space group F-43m (No. 216), with a = 8.978 Å, b = 8.978 Å, c = 8.978 Å, α = 90.00°, β = 90.00° and γ = 90.00°. Symmetry generates all atoms from Ca at (0.000, 0.000, 0.000), Si at (0.250, 0.250, 0.750) and Te at (0.125, 0.125, 0.375).

First-principles (PBE) data for Na2NbAu after structural relaxation, as listed in the Alexandria database.

The calculation puts the magnetization at 3.2 μB per formula unit. The formation energy is 3.14 eV/f.u. The value obtained for the density is 5551 kg/m3. The calculation puts the electronic total energy at -3.21 eV/atom. The offset from the most stable computed form is 0 meV/atom.

It has space group I-42d (No. 122), with a = 8.533 Å, b = 8.533 Å, c = 5.519 Å, α = 90.00°, β = 90.00° and γ = 90.00°. Symmetry generates all atoms from Na at (0.208, 0.250, 0.125), Nb at (0.000, 0.000, 0.500) and Au at (0.000, 0.000, 0.000).

First-principles (PBE) data for CuAg3S after structural relaxation, as listed in the Alexandria database.

The calculation puts the magnetization at 0.0 μB per formula unit. The value obtained for the density is 6125 kg/m3. The calculation puts the electronic total energy at -2.80 eV/atom. The offset from the most stable computed form is 0 meV/atom.

It has space group Pm-3m (No. 221), with a = 4.844 Å, b = 4.844 Å, c = 4.844 Å, α = 90.00°, β = 90.00° and γ = 90.00°. Symmetry generates all atoms from Cu at (0.000, 0.000, 0.000), Ag at (0.000, 0.500, 0.500) and S at (0.500, 0.500, 0.500).

First-principles (PBE) data for ZnAg6Au8 after structural relaxation, as listed in the Alexandria database.

The calculation puts the magnetization at 0.0 μB per formula unit. The formation energy is 1.07 eV/f.u. The value obtained for the density is 12848 kg/m3. The calculation puts the electronic total energy at -2.90 eV/atom. The offset from the most stable computed form is 11 meV/atom.

It has space group P-3 (No. 147), with a = 7.7449 Å, b = 7.7449 Å, c = 5.6936 Å, α = 90.00°, β = 90.00° and γ = 120.00°. Symmetry generates all atoms from Zn at (0.0000, 0.0000, 0.0000), Ag at (0.0443, 0.3625, 0.1273), Au at (0.0186, 0.3290, 0.6213) and Au at (0.3333, 0.6667, 0.8192).